No. 1
A plane-wave DFT calculation with PBE was carried out for an optimized crystal structure of CrReMo2.

Computed properties:
Offset from the most stable computed form: 278 meV per atom
VASP energy: -10.6106 eV/atom
Formation energy from the elements: 31.2 kJ per mole of atoms

a b c (Å): 2.7541 2.7541 27.2585
angles (deg): 90.00 90.00 120.00
Space group R3m (No. 160, hexagonal axes)
One atom of each set of equivalent atoms:
Cr (0.0000, 0.0000, 0.0000) (multiplicity 3)
Re (0.0000, 0.0000, 0.7420) (multiplicity 3)
Mo (0.0000, 0.0000, 0.2520) (multiplicity 3)
Mo (0.0000, 0.0000, 0.4948) (multiplicity 3)

=====

No. 2
A plane-wave DFT calculation with PBE was carried out for an optimized crystal structure of CrReMo.

Computed properties:
Offset from the most stable computed form: 48 meV per atom
VASP energy: -10.8545 eV/atom
Formation energy from the elements: 10.9 kJ per mole of atoms

a b c (Å): 3.069 4.381 12.792
angles (deg): 90.00 90.00 90.00
Space group Fmm2 (No. 42)
One atom of each set of equivalent atoms:
Cr (0.000, 0.000, 0.000) (multiplicity 4)
Re (0.000, 0.000, 0.340) (multiplicity 4)
Mo (0.000, 0.000, 0.663) (multiplicity 4)

=====

No. 3
A plane-wave DFT calculation with PBE was carried out for an optimized crystal structure of CrReMo.

Computed properties:
Offset from the most stable computed form: 245 meV per atom
VASP energy: -10.6581 eV/atom
Formation energy from the elements: 29.9 kJ per mole of atoms

a b c (Å): 2.7612 2.7612 6.5930
angles (deg): 90.00 90.00 120.00
Space group P3m1 (No. 156)
One atom of each set of equivalent atoms:
Cr (0.0000, 0.0000, 0.0000) (multiplicity 1)
Re (0.3333, 0.6667, 0.6895) (multiplicity 1)
Mo (0.6667, 0.3333, 0.3345) (multiplicity 1)

=====

No. 4
A plane-wave DFT calculation with PBE was carried out for an optimized crystal structure of CrRe2Mo.

Computed properties:
Offset from the most stable computed form: 178 meV per atom
VASP energy: -11.0732 eV/atom
Formation energy from the elements: 25.5 kJ per mole of atoms

a b c (Å): 2.7536 2.7536 26.7749
angles (deg): 90.00 90.00 120.00
Space group R3m (No. 160, hexagonal axes)
One atom of each set of equivalent atoms:
Cr (0.0000, 0.0000, 0.0000) (multiplicity 3)
Re (0.0000, 0.0000, 0.4962) (multiplicity 3)
Re (0.0000, 0.0000, 0.7452) (multiplicity 3)
Mo (0.0000, 0.0000, 0.2510) (multiplicity 3)

=====

No. 5
A plane-wave DFT calculation with PBE was carried out for an optimized crystal structure of Cr2ReMo.

Computed properties:
VASP energy: -10.5639 eV/atom
Formation energy from the elements: 6.5 kJ per mole of atoms

a b c (Å): 6.043 6.043 6.043
angles (deg): 90.00 90.00 90.00
Space group F-43m (No. 216)
One atom of each set of equivalent atoms:
Cr (0.000, 0.000, 0.000) (multiplicity 4)
Cr (0.250, 0.250, 0.250) (multiplicity 4)
Re (0.250, 0.250, 0.750) (multiplicity 4)
Mo (0.000, 0.000, 0.500) (multiplicity 4)

=====

No. 6
A plane-wave DFT calculation with PBE was carried out for an optimized crystal structure of CrRe2Mo.

Computed properties:
Offset from the most stable computed form: 7 meV per atom
VASP energy: -11.2442 eV/atom
Formation energy from the elements: 9.0 kJ per mole of atoms

a b c (Å): 3.072 4.352 8.648
angles (deg): 90.00 90.00 90.00
Space group Imm2 (No. 44)
One atom of each set of equivalent atoms:
Cr (0.000, 0.000, 0.000) (multiplicity 2)
Re (0.000, 0.000, 0.493) (multiplicity 2)
Re (0.000, 0.500, 0.255) (multiplicity 2)
Mo (0.000, 0.500, 0.735) (multiplicity 2)

=====

No. 7
A plane-wave DFT calculation with PBE was carried out for an optimized crystal structure of CrReMo2.

Computed properties:
Offset from the most stable computed form: 804 meV per atom
VASP energy: -10.0843 eV/atom
Formation energy from the elements: 81.9 kJ per mole of atoms

a b c (Å): 6.983 6.983 5.149
angles (deg): 90.00 90.00 90.00
Space group I-42d (No. 122)
One atom of each set of equivalent atoms:
Cr (0.000, 0.000, 0.000) (multiplicity 4)
Re (0.000, 0.000, 0.500) (multiplicity 4)
Mo (0.235, 0.250, 0.125) (multiplicity 8)

=====

No. 8
A plane-wave DFT calculation with PBE was carried out for an optimized crystal structure of Cr2ReMo.

Computed properties:
VASP energy: -10.2756 eV/atom
Formation energy from the elements: 34.3 kJ per mole of atoms

a b c (Å): 2.7128 2.7128 26.2815
angles (deg): 90.00 90.00 120.00
Space group R-3m (No. 166, hexagonal axes)
One atom of each set of equivalent atoms:
Cr (0.0000, 0.0000, 0.2474) (multiplicity 6)
Re (0.0000, 0.0000, 0.5000) (multiplicity 3)
Mo (0.0000, 0.0000, 0.0000) (multiplicity 3)

=====

No. 9
A plane-wave DFT calculation with PBE was carried out for an optimized crystal structure of CrRe2Mo.

Computed properties:
Offset from the most stable computed form: 29 meV per atom
VASP energy: -11.2225 eV/atom
Formation energy from the elements: 11.1 kJ per mole of atoms

a b c (Å): 2.667 4.343 5.102
angles (deg): 90.00 99.75 90.00
Space group P2/m (No. 10)
One atom of each set of equivalent atoms:
Cr (0.000, 0.000, 0.000) (multiplicity 1)
Re (0.244, 0.500, 0.758) (multiplicity 2)
Mo (0.500, 0.000, 0.500) (multiplicity 1)

=====

No. 10
A plane-wave DFT calculation with PBE was carried out for an optimized crystal structure of CrReMo.

Computed properties:
Offset from the most stable computed form: 614 meV per atom
VASP energy: -10.2890 eV/atom
Formation energy from the elements: 65.5 kJ per mole of atoms

a b c (Å): 5.793 5.793 5.793
angles (deg): 90.00 90.00 90.00
Space group F-43m (No. 216)
One atom of each set of equivalent atoms:
Cr (0.000, 0.000, 0.000) (multiplicity 4)
Re (0.250, 0.250, 0.250) (multiplicity 4)
Mo (0.250, 0.250, 0.750) (multiplicity 4)

=====

No. 11
A plane-wave DFT calculation with PBE was carried out for an optimized crystal structure of CrReMo.

Computed properties:
Offset from the most stable computed form: 6 meV per atom
VASP energy: -10.8967 eV/atom
Formation energy from the elements: 6.8 kJ per mole of atoms

a b c (Å): 4.3143 4.3143 2.6663
angles (deg): 90.00 90.00 120.00
Space group P3m1 (No. 156)
One atom of each set of equivalent atoms:
Cr (0.0000, 0.0000, 0.0000) (multiplicity 1)
Re (0.3333, 0.6667, 0.6762) (multiplicity 1)
Mo (0.6667, 0.3333, 0.3269) (multiplicity 1)

=====

No. 12
A plane-wave DFT calculation with PBE was carried out for an optimized crystal structure of Cr2ReMo.

Computed properties:
VASP energy: -10.5320 eV/atom
Formation energy from the elements: 9.6 kJ per mole of atoms

a b c (Å): 3.022 4.321 8.395
angles (deg): 90.00 90.00 90.00
Space group Cmm2 (No. 35)
One atom of each set of equivalent atoms:
Cr (0.000, 0.000, 0.000) (multiplicity 2)
Cr (0.000, 0.500, 0.224) (multiplicity 2)
Re (0.000, 0.500, 0.751) (multiplicity 2)
Mo (0.000, 0.000, 0.476) (multiplicity 2)

=====

No. 13
A plane-wave DFT calculation with PBE was carried out for an optimized crystal structure of CrRe2Mo.

Computed properties:
Offset from the most stable computed form: 28 meV per atom
VASP energy: -11.2232 eV/atom
Formation energy from the elements: 11.0 kJ per mole of atoms

a b c (Å): 2.672 4.329 5.115
angles (deg): 90.00 100.53 90.00
Space group Pm (No. 6)
One atom of each set of equivalent atoms:
Cr (0.000, 0.000, 0.000) (multiplicity 1)
Re (0.264, 0.500, 0.752) (multiplicity 1)
Re (0.541, 0.000, 0.503) (multiplicity 1)
Mo (0.784, 0.500, 0.239) (multiplicity 1)

=====

No. 14
A plane-wave DFT calculation with PBE was carried out for an optimized crystal structure of CrReMo2.

Computed properties:
Offset from the most stable computed form: 22 meV per atom
VASP energy: -10.8663 eV/atom
Formation energy from the elements: 6.5 kJ per mole of atoms

a b c (Å): 2.686 4.348 5.125
angles (deg): 90.00 100.34 90.00
Space group P2/m (No. 10)
One atom of each set of equivalent atoms:
Cr (0.000, 0.000, 0.000) (multiplicity 1)
Re (0.500, 0.000, 0.500) (multiplicity 1)
Mo (0.247, 0.500, 0.755) (multiplicity 2)

=====

No. 15
A plane-wave DFT calculation with PBE was carried out for an optimized crystal structure of Cr2Re2Mo.

Computed properties:
VASP energy: -10.9134 eV/atom
Formation energy from the elements: 7.9 kJ per mole of atoms

a b c (Å): 5.020 5.038 6.600
angles (deg): 69.69 78.14 63.37
Space group P-1 (No. 2)
One atom of each set of equivalent atoms:
Cr (0.044, 0.247, 0.392) (multiplicity 2)
Cr (0.259, 0.243, 0.009) (multiplicity 2)
Re (0.142, 0.749, 0.205) (multiplicity 2)
Re (0.436, 0.252, 0.603) (multiplicity 2)
Mo (0.346, 0.744, 0.801) (multiplicity 2)